1.
VASP calculation (SCAN) on a PBEsol-optimized structure of BeSiCl.

```
BeSiCl
1.0
3.245 0.000 0.000
0.000 3.245 0.000
-1.623 -1.623 4.900
Si Cl Be
1 1 1
Direct
0.444 0.444 0.888
0.673 0.673 0.346
0.883 0.883 0.767
```

* space-group type: I4mm, No. 107
* polymorph energy (0 for the lowest one): 71 meV per atom
* Fermi-level density of states: 0.278 states/eV per atom
* raw formation energy: 0.087 eV per atom


2.
VASP calculation (SCAN) on a PBEsol-optimized structure of CdCoPt.

```
CdCoPt
1.0
-2.763 -0.128 -0.341
1.412 -2.268 0.793
-0.860 1.681 6.336
Co Cd Pt
1 1 1
Direct
0.333 0.667 0.655
0.000 0.000 0.990
0.667 0.333 0.355
```

* space-group type: P3m1, No. 156
* energy of formation from the pure elements: 105 meV/atom
* Fermi-level density of states: 0.967 states/eV per atom


3.
VASP calculation (SCAN) on a PBEsol-optimized structure of ErNi3.

```
ErNi3
1.0
4.850 0.000 0.000
2.425 4.200 0.000
2.425 1.400 7.950
Er Ni
3 9
Direct
0.000 0.000 0.000
0.861 0.861 0.417
0.139 0.139 0.583
0.667 0.667 0.000
0.583 0.583 0.753
0.919 0.417 0.247
0.500 0.500 0.500
0.333 0.333 0.000
0.583 0.081 0.753
0.417 0.919 0.247
0.081 0.583 0.753
0.417 0.417 0.247
```

* space-group type: R-3m, No. 166
* energy of formation from the pure elements: -440 meV/atom
* Fermi-level density of states: 0.703 states/eV per atom


4.
VASP calculation (SCAN) on a PBEsol-optimized structure of YCuRe2.

```
YCuRe2
1.0
4.476 0.000 0.000
2.238 3.877 0.000
2.238 1.292 3.655
Cu Re Y
1 2 1
Direct
0.000 0.000 0.000
0.250 0.250 0.250
0.750 0.750 0.750
0.500 0.500 0.500
```

* space-group type: Fm-3m, No. 225
* energy of formation from the pure elements: 1012 meV/atom
* polymorph energy (0 for the lowest one): 678 meV per atom
* Fermi-level density of states: 1.530 states/eV per atom


5.
VASP calculation (SCAN) on a PBEsol-optimized structure of SrAsOs2.

```
SrAsOs2
1.0
-1.596 -2.448 -0.058
3.693 -2.351 -2.377
0.824 1.078 5.435
Os Sr As
2 1 1
Direct
0.712 0.712 0.425
0.288 0.288 0.575
0.500 0.000 0.000
0.000 0.500 0.000
```

* space-group type: Immm, No. 71
* energy of formation from the pure elements: 661 meV/atom
* Fermi-level density of states: 0.941 states/eV per atom


6.
VASP calculation (SCAN) on a PBEsol-optimized structure of K2Mg.

```
K2Mg
1.0
-3.397 -1.816 1.600
-0.429 -2.261 -3.478
6.827 -4.145 4.354
Mg K
1 2
Direct
0.000 0.000 0.000
0.642 0.642 0.284
0.358 0.358 0.716
```

* space-group type: I4/mmm, No. 139
* energy of formation from the pure elements: 194 meV/atom
* polymorph energy (0 for the lowest one): 9 meV per atom
* Fermi-level density of states: 0.607 states/eV per atom


7.
VASP calculation (SCAN) on a PBEsol-optimized structure of CdSi2Se.

```
CdSi2Se
1.0
3.301 0.000 0.000
0.000 4.645 0.000
0.000 0.000 4.768
Cd Se Si
1 1 2
Direct
0.500 0.000 0.500
0.000 0.500 0.500
0.000 0.000 0.000
0.500 0.500 0.000
```

* space-group type: Pmmm, No. 47
* polymorph energy (0 for the lowest one): 145 meV per atom
* Fermi-level density of states: 0.430 states/eV per atom
* raw formation energy: 0.617 eV per atom


8.
VASP calculation (SCAN) on a PBEsol-optimized structure of SrLaAu2.

```
SrLaAu2
1.0
-2.483 2.104 -1.834
-2.676 -1.097 2.364
1.604 5.839 4.526
Au La Sr
2 1 1
Direct
0.000 0.000 0.776
0.000 0.000 0.224
0.500 0.500 0.000
0.500 0.500 0.500
```

* space-group type: P4/mmm, No. 123
* energy of formation from the pure elements: -970 meV/atom
* Fermi-level density of states: 0.723 states/eV per atom


9.
VASP calculation (SCAN) on a PBEsol-optimized structure of Sc2Rh.

```
Sc2Rh
1.0
3.303 0.000 0.000
0.000 4.678 0.000
-1.652 0.000 7.124
Rh Sc
2 4
Direct
0.423 0.250 0.846
0.577 0.750 0.154
0.925 0.750 0.850
0.075 0.250 0.150
0.222 0.750 0.444
0.778 0.250 0.556
```

* space-group type: Cmcm, No. 63
* energy of formation from the pure elements: -766 meV/atom
* Fermi-level density of states: 0.758 states/eV per atom


10.
VASP calculation (SCAN) on a PBEsol-optimized structure of CdOsBr2.

```
CdOsBr2
1.0
3.043 0.000 0.000
-1.521 2.846 0.000
0.000 0.000 9.975
Br Cd Os
2 1 1
Direct
0.000 0.000 0.802
0.000 0.000 0.198
0.500 0.000 0.500
0.500 0.000 0.000
```

* space-group type: Cmmm, No. 65
* polymorph energy (0 for the lowest one): 245 meV per atom
* Fermi-level density of states: 0.505 states/eV per atom
* raw formation energy: 0.656 eV per atom


11.
VASP calculation (SCAN) on a PBEsol-optimized structure of MnTlTe2.

```
MnTlTe2
1.0
3.756 0.000 0.000
0.000 4.273 -0.036
0.000 -1.656 7.364
Tl Te Mn
1 2 1
Direct
0.500 0.000 0.500
0.000 0.603 0.777
0.000 0.397 0.223
0.500 0.500 0.000
```

* space-group type: P2/m, No. 10
* Fermi-level density of states: 0.225 states/eV per atom
* raw formation energy: -0.297 eV per atom


12.
VASP calculation (SCAN) on a PBEsol-optimized structure of SnBi3Pd.

```
SnBi3Pd
1.0
5.331 0.000 0.000
0.000 5.331 0.000
0.000 0.000 5.331
Bi Pd Sn
3 1 1
Direct
0.000 0.000 0.500
0.000 0.500 0.000
0.500 0.000 0.000
0.000 0.000 0.000
0.500 0.500 0.500
```

* space-group type: Pm-3m, No. 221
* energy of formation from the pure elements: 365 meV/atom
* Fermi-level density of states: 0.900 states/eV per atom


13.
VASP calculation (SCAN) on a PBEsol-optimized structure of ZrMnBr4.

```
ZrMnBr4
1.0
5.966 0.000 0.000
2.983 5.167 0.000
2.983 1.722 4.871
Br Zr Mn
4 1 1
Direct
0.375 0.375 0.876
0.375 0.375 0.375
0.876 0.375 0.375
0.375 0.876 0.375
0.000 0.000 0.000
0.750 0.750 0.750
```

* space-group type: F-43m, No. 216
* Fermi-level density of states: 1.007 states/eV per atom
* raw formation energy: 0.646 eV per atom


14.
VASP calculation (SCAN) on a PBEsol-optimized structure of CdInIr.

```
CdInIr
1.0
3.046 0.000 0.000
0.000 3.046 0.000
-1.523 -1.523 5.992
Ir In Cd
1 1 1
Direct
0.330 0.330 0.660
0.688 0.688 0.376
0.982 0.982 0.964
```

* space-group type: I4mm, No. 107
* energy of formation from the pure elements: 103 meV/atom
* Fermi-level density of states: 0.328 states/eV per atom


15.
VASP calculation (SCAN) on a PBEsol-optimized structure of CoSi3Sb.

```
CoSi3Sb
1.0
5.017 0.000 0.000
0.000 5.017 0.000
0.000 0.000 5.017
Co Si Sb
1 3 1
Direct
0.500 0.500 0.500
0.500 0.000 0.000
0.000 0.000 0.500
0.000 0.500 0.000
0.000 0.000 0.000
```

* space-group type: Pm-3m, No. 221
* Fermi-level density of states: 0.550 states/eV per atom
* raw formation energy: 1.926 eV per atom


16.
VASP calculation (SCAN) on a PBEsol-optimized structure of BaZrCo4.

```
BaZrCo4
1.0
-4.457 -0.073 -2.236
-2.543 -4.275 -0.352
-4.136 -0.670 2.704
Zr Co Ba
1 4 1
Direct
0.750 0.750 0.750
0.377 0.869 0.377
0.377 0.377 0.869
0.377 0.377 0.377
0.869 0.377 0.377
0.000 0.000 0.000
```

* space-group type: F-43m, No. 216
* energy of formation from the pure elements: 486 meV/atom
* Fermi-level density of states: 1.053 states/eV per atom


17.
VASP calculation (SCAN) on a PBEsol-optimized structure of CsRuRh3.

```
CsRuRh3
1.0
-3.475 0.044 3.275
-2.661 -2.821 -2.786
1.909 -3.852 2.078
Rh Ru Cs
3 1 1
Direct
0.500 0.000 0.000
0.000 0.000 0.500
0.000 0.500 0.000
0.500 0.500 0.500
0.000 0.000 0.000
```

* space-group type: Pm-3m, No. 221
* energy of formation from the pure elements: 2647 meV/atom
* Fermi-level density of states: 1.209 states/eV per atom


18.
VASP calculation (SCAN) on a PBEsol-optimized structure of Ba3CoPb.

```
Ba3CoPb
1.0
5.632 0.000 0.000
0.000 5.632 0.000
0.000 0.000 5.632
Ba Co Pb
3 1 1
Direct
0.500 0.000 0.000
0.000 0.000 0.500
0.000 0.500 0.000
0.000 0.000 0.000
0.500 0.500 0.500
```

* space-group type: Pm-3m, No. 221
* energy of formation from the pure elements: 37 meV/atom
* Fermi-level density of states: 1.227 states/eV per atom


19.
VASP calculation (SCAN) on a PBEsol-optimized structure of FeRuPt2.

```
FeRuPt2
1.0
2.678 0.000 0.000
0.000 4.699 0.001
0.000 -1.670 4.393
Fe Ru Pt
1 1 2
Direct
0.500 0.500 0.500
0.500 0.000 0.000
0.000 0.500 0.000
0.000 0.000 0.500
```

* space-group type: Cmmm, No. 65
* energy of formation from the pure elements: -229 meV/atom
* Fermi-level density of states: 0.727 states/eV per atom


20.
VASP calculation (SCAN) on a PBEsol-optimized structure of B2SbAs2.

```
B2SbAs2
1.0
3.088 0.000 0.000
0.000 7.386 0.000
0.000 0.000 7.386
B As Sb
4 4 2
Direct
0.500 0.920 0.420
0.500 0.420 0.080
0.500 0.080 0.580
0.500 0.580 0.920
0.000 0.851 0.649
0.000 0.649 0.149
0.000 0.351 0.851
0.000 0.149 0.351
0.000 0.000 0.000
0.000 0.500 0.500
```

* space-group type: P4/mbm, No. 127
* Fermi-level density of states: 0.407 states/eV per atom
* raw formation energy: 1.136 eV per atom